1.
BeSbBr2: optimized geometry, PBE.

Computed properties:
The calculation puts the raw formation energy at 0.25 eV per atom. The space-group type is P4/mmm (123). The calculation puts the energy above the most stable polymorph in this dataset at 567.9 meV/atom.

abc: 3.164 3.164 11.772
angles: 90.00 90.00 90.00
Atoms (fractional coordinates):
Br 0.000 0.000 0.881
Br 0.000 0.000 0.619
Sb 0.500 0.500 0.250
Be 0.500 0.500 0.750

=====

2.
Rb3Np3CdS8: optimized geometry, PBE.

Computed properties:
The calculation puts the raw formation energy at -1.23 eV per atom. The space-group type is R-3m (166).

abc: 8.064 8.063 9.052
angles: 116.45 90.04 119.99
Each line ends with the local moment (μB).
Atoms (fractional coordinates):
S 0.766 0.047 0.313  -0.09
Cd 0.000 0.000 0.500  0.00
S 0.730 0.460 0.689  -0.09
Rb 0.000 0.000 0.000  0.00
S 0.270 0.540 0.311  -0.09
Np 0.500 0.500 0.500  3.51
Np 0.000 0.500 0.500  3.51
S 0.281 0.047 0.313  -0.09
S 0.766 0.532 0.313  -0.09
Rb 0.500 0.500 0.000  0.00
S 0.719 0.953 0.687  -0.09
Rb 0.000 0.500 0.000  0.00
S 0.234 0.953 0.687  -0.09
S 0.234 0.468 0.687  -0.09
Np 0.500 0.000 0.500  3.51

=====

3.
Al2IrRu: optimized geometry, PBE.

Computed properties:
The value obtained for the formation energy is 0.00 eV/atom. The space-group type is I-42d (122).

abc: 6.623 6.623 5.482
angles: 52.83 52.83 90.00
Atoms (fractional coordinates):
Ir 0.000 0.000 0.000
Al 0.121 0.625 0.250
Ir 0.750 0.250 0.500
Ru 0.250 0.750 0.500
Ru 0.500 0.500 0.000
Al 0.629 0.125 0.250
Al 0.875 0.879 0.750
Al 0.375 0.371 0.750

=====

4.
SmBe3Ge3: optimized geometry, PBE.

Computed properties:
The value obtained for the formation energy is 0.11 eV/atom. The space-group type is Pm-3n (223).

abc: 6.273 6.273 6.273
angles: 90.00 90.00 90.00
Atoms (fractional coordinates):
Be 0.000 0.750 0.500
Ge 0.000 0.500 0.750
Be 0.500 0.000 0.750
Be 0.000 0.250 0.500
Sm 0.500 0.500 0.500
Be 0.500 0.000 0.250
Ge 0.750 0.000 0.500
Be 0.250 0.500 0.000
Ge 0.500 0.250 0.000
Ge 0.500 0.750 0.000
Sm 0.000 0.000 0.000
Ge 0.250 0.000 0.500
Ge 0.000 0.500 0.250
Be 0.750 0.500 0.000

=====

5.
Ba2TcAg: optimized geometry, PBE.

Computed properties:
The value obtained for the formation energy is 0.69 eV/atom. The space-group type is I-42d (122). The calculation puts the energy above the most stable polymorph in this dataset at 227.8 meV/atom.

abc: 11.311 11.311 8.429
angles: 47.86 47.86 90.00
Atoms (fractional coordinates):
Tc 0.250 0.750 0.500
Ag 0.750 0.250 0.500
Ag 0.000 0.000 0.000
Tc 0.500 0.500 0.000
Ba 0.375 0.600 0.750
Ba 0.350 0.625 0.250
Ba 0.400 0.125 0.250
Ba 0.875 0.650 0.750

=====

6.
Cs2HfBr6F: optimized geometry, PBE.

Computed properties:
The calculation puts the raw formation energy at -1.47 eV per atom. The space-group type is I4/mmm (139).

abc: 7.722 7.722 8.084
angles: 61.47 61.47 90.00
Each line ends with the local moment (μB).
Atoms (fractional coordinates):
Br 0.220 0.220 0.560  0.01
Hf 0.000 0.000 0.000  0.02
Cs 0.250 0.750 0.500  0.00
Br 0.241 0.241 0.000  0.08
Br 0.241 0.759 0.000  0.10
Br 0.759 0.759 0.000  0.08
Br 0.780 0.780 0.440  0.01
Cs 0.750 0.250 0.500  0.00
Br 0.759 0.241 0.000  0.10
F 0.500 0.500 0.000  0.46

=====

7.
HgMo3Pb: optimized geometry, PBE.

Computed properties:
The value obtained for the formation energy is 2.49 eV/atom. The space-group type is Pm-3m (221). The calculation puts the energy above the most stable polymorph in this dataset at 187.6 meV/atom.

abc: 5.018 5.018 5.018
angles: 90.00 90.00 90.00
Atoms (fractional coordinates):
Mo 0.000 0.500 0.000
Pb 0.000 0.000 0.000
Mo 0.500 0.000 0.000
Hg 0.500 0.500 0.500
Mo 0.000 0.000 0.500

=====

8.
HoNp2Ga9: optimized geometry, PBE.

Computed properties:
The value obtained for the formation energy is -0.32 eV/atom. The space-group type is P4/mmm (123). The calculation puts the energy above the most stable polymorph in this dataset at 0.0 meV/atom.

abc: 4.256 4.256 12.819
angles: 90.00 90.00 90.00
Each line ends with the local moment (μB).
Atoms (fractional coordinates):
Ga 0.500 0.500 0.665  0.02
Ga 0.500 0.000 0.167  0.00
Np 0.000 0.000 0.332  3.62
Ga 0.500 0.000 0.833  0.00
Ga 0.500 0.500 0.000  0.00
Np 0.000 0.000 0.668  3.62
Ga 0.500 0.500 0.335  0.02
Ho 0.000 0.000 0.000  -0.03
Ga 0.000 0.500 0.500  0.02
Ga 0.000 0.500 0.833  0.00
Ga 0.000 0.500 0.167  0.00
Ga 0.500 0.000 0.500  0.02

=====

| no. | total magnetic moment (μB per cell) |
| --- | --- |
| 1 | 0.000 |
| 2 | 10.000 |
| 3 | 0.000 |
| 4 | 0.000 |
| 5 | 0.000 |
| 6 | 1.000 |
| 7 | 0.000 |
| 8 | 7.720 |